DFT (GGA+U) results for a relaxed structure of HoZnFe2O6.

- Density of states at the Fermi level: 4.0 states/eV/cell
- Raw total energy: -6.514 eV per atom

abc: 5.2198 5.4496 7.6157
angles: 90.00 90.00 90.00
Last column: nearest neighbours and their distance in Å.
Element x y z (fractional)
Zn 0.4927 0.2114 0.0000  3 O 2.03-2.12
O 0.6925 0.0566 0.6903  2 Fe 1.94
O 0.1925 0.9434 0.8097  2 Fe 1.94
O 0.6925 0.0566 0.3097  2 Fe 1.94
Ho 0.5170 0.3189 0.5000  6 O 2.23-2.48
O 0.6073 0.8070 0.0000  2 Fe 2.00
Fe 0.5009 0.7624 0.2498  6 O 1.94-2.07
O 0.8111 0.5609 0.3108  2 Fe 2.01-2.07, 1 Zn 2.12
Fe 0.0009 0.2376 0.7498  6 O 1.94-2.07
O 0.8111 0.5609 0.6892  2 Fe 2.01-2.07, 1 Zn 2.12
O 0.8729 0.2868 0.0000  1 Zn 2.03, 2 Fe 2.04
O 0.3111 0.4391 0.1892  2 Fe 2.01-2.07, 1 Zn 2.12
Zn 0.9927 0.7886 0.5000  3 O 2.03-2.12
O 0.3729 0.7132 0.5000  1 Zn 2.03, 2 Fe 2.04
Fe 0.0009 0.2376 0.2502  6 O 1.94-2.07
O 0.1925 0.9434 0.1903  2 Fe 1.94
Ho 0.0170 0.6811 0.0000  6 O 2.23-2.48
O 0.3111 0.4391 0.8108  2 Fe 2.01-2.07, 1 Zn 2.12
Fe 0.5009 0.7624 0.7502  6 O 1.94-2.07
O 0.1073 0.1930 0.5000  2 Fe 2.00